Compound: Y2AlTlB
Source: Alexandria
Functional: PBE
Structure: relaxed

Density in g/cm3: 5.6
Uncorrected energy in hartree per atom: -0.1747
Symmetry: P4/mmm (123)
Energy above the lowest structure with this stoichiometry in meV/atom: 695
Total moment in μB/cell: 0.00
ΔE_f in eV/atom: 0.389

Lattice parameters (Å, degrees): 5.6445 5.6445 3.9033 90.00 90.00 90.00
Atoms (fractional coordinates):
Y1 0.0000 0.5000 0.0000
Y2 0.5000 0.0000 0.0000
Al1 0.0000 0.0000 0.0000
Tl1 0.5000 0.5000 0.5000
B1 0.0000 0.0000 0.5000